# 1
La2TbTh: relaxed, PBE.

Summary:
For the energy above the most stable polymorph in this dataset, the calculation gives 107 meV per atom. The electronic total energy comes out at -5.346 eV per atom. The value obtained for the energy of formation is 131 meV/atom. The total magnetization is 0.000 μB/cell.

```
data_La2TbTh
_cell_length_a 11.861
_cell_length_b 3.551
_cell_length_c 13.129
_cell_angle_alpha 90.00
_cell_angle_beta 90.00
_cell_angle_gamma 90.00
_space_group_name_H-M_alt 'P n m a'
_space_group_IT_number 62
loop_
_space_group_symop_operation_xyz
'x,y,z'
'-x,-y,-z'
'-x+1/2,-y,z+1/2'
'x+1/2,y,-z+1/2'
'x+1/2,-y+1/2,-z+1/2'
'-x+1/2,y+1/2,z+1/2'
'-x,y+1/2,-z'
'x,-y+1/2,z'
loop_
_atom_site_label
_atom_site_fract_x
_atom_site_fract_y
_atom_site_fract_z
_atom_site_occupancy
La1 0.229 0.250 0.246 1
La2 0.249 0.750 0.002 1
Tb1 0.019 0.250 0.864 1
Th1 0.019 0.750 0.613 1
```

---

# 2
NdAl2Os2C: relaxed, PBE.

Summary:
The electronic total energy comes out at -7.615 eV per atom. The value obtained for the energy of formation is -292 meV/atom. The total magnetization is 0.000 μB/cell.

```
data_NdAl2Os2C
_cell_length_a 4.147
_cell_length_b 4.147
_cell_length_c 5.673
_cell_angle_alpha 90.00
_cell_angle_beta 90.00
_cell_angle_gamma 90.00
_space_group_name_H-M_alt 'P 4/m m m'
_space_group_IT_number 123
_space_group_name_Hall '-P 4 2'
loop_
_atom_site_label
_atom_site_fract_x
_atom_site_fract_y
_atom_site_fract_z
_atom_site_occupancy
Nd1 0.000 0.000 0.000 1
Al1 0.500 0.500 0.228 1
Os1 0.000 0.500 0.500 1
C1 0.000 0.000 0.500 1
```

---

Number 1: N(E_F) 27.3 states/eV/cell. Number 2: N(E_F) 3.3 states/eV/cell.